Model one:
{"formula": "As2OsRh", "functional": "PBE-GGA", "state": "optimized geometry", "lattice_angstrom": [[3.0139, 0.0000, 0.0000], [0.0000, 5.1784, 0.0019], [0.0000, 3.4616, 3.8934]], "species": ["Rh", "As", "As", "Os"], "fractional_positions": [[0.0000, 0.0000, 0.5000], [0.0000, 0.0000, 0.0000], [0.5000, 0.5000, 0.0000], [0.5000, 0.5000, 0.5000]], "sg": "P2/m (10)", "crystal_system": "monoclinic"}

Model two:
{"formula": "As2OsRh", "functional": "PBE-GGA", "state": "optimized geometry", "lattice_angstrom": [[0.0000, 3.1136, 3.1136], [3.1136, 0.0000, 3.1136], [3.1136, 3.1136, 0.0000]], "species": ["Rh", "As", "As", "Os"], "fractional_positions": [[0.0000, 0.0000, 0.0000], [0.2500, 0.2500, 0.2500], [0.7500, 0.7500, 0.7500], [0.5000, 0.5000, 0.5000]], "sg": "Fm-3m (225)", "crystal_system": "cubic"}

Stability check: which of them is most stable? model one.

Model one:
{"formula": "As2OsRh", "functional": "PBE-GGA", "state": "optimized geometry", "lattice_angstrom": [[4.2536, -0.0110, 0.0086], [3.1807, 2.8243, 0.0086], [1.0257, 0.3881, 5.0749]], "species": ["Rh", "As", "As", "Os"], "fractional_positions": [[0.2500, 0.2500, 0.2500], [0.0048, 0.0048, 0.9918], [0.4952, 0.4952, 0.5082], [0.7500, 0.7500, 0.7500]], "sg": "C2/m (12)", "crystal_system": "monoclinic"}

Model two:
{"formula": "As2OsRh", "functional": "PBE-GGA", "state": "optimized geometry", "lattice_angstrom": [[4.4657, 0.0000, 0.0000], [2.2329, 3.8674, 0.0000], [2.2329, 1.2891, 3.6463]], "species": ["Rh", "As", "As", "Os"], "fractional_positions": [[0.7500, 0.7500, 0.7500], [0.0000, 0.0000, 0.0000], [0.2500, 0.2500, 0.2500], [0.5000, 0.5000, 0.5000]], "sg": "F-43m (216)", "crystal_system": "cubic"}

Model three:
{"formula": "As2OsRh", "functional": "PBE-GGA", "state": "optimized geometry", "lattice_angstrom": [[4.5766, -0.0063, 0.0079], [3.4451, 3.0128, 0.0079], [1.0775, 0.4038, 4.5866]], "species": ["Rh", "As", "As", "Os"], "fractional_positions": [[0.2680, 0.2680, 0.1540], [0.9915, 0.9915, 0.1150], [0.7550, 0.7550, 0.6897], [0.4855, 0.4855, 0.5412]], "sg": "Cm (8)", "crystal_system": "monoclinic"}

Model four:
{"formula": "As2OsRh", "functional": "PBE-GGA", "state": "optimized geometry", "lattice_angstrom": [[-0.4376, 1.8421, 4.8315], [3.0282, -1.9333, 3.7445], [0.5172, 1.8616, -4.8162]], "species": ["Rh", "As", "As", "Os"], "fractional_positions": [[0.7500, 0.2500, 0.5000], [0.0000, 0.0000, 0.0000], [0.2500, 0.7500, 0.5000], [0.5000, 0.5000, 0.0000]], "sg": "I-4m2 (119)", "crystal_system": "tetragonal"}

Stability check: which of them is most stable? model three.

Model one:
{"formula": "AsOs3Rh", "functional": "PBE-GGA", "state": "optimized geometry", "lattice_angstrom": [[4.4735, 0.0000, 0.0000], [0.0000, 4.4735, 0.0000], [0.0000, 0.0000, 4.4735]], "species": ["Rh", "As", "Os", "Os", "Os"], "fractional_positions": [[0.5000, 0.5000, 0.5000], [0.0000, 0.0000, 0.0000], [0.0000, 0.5000, 0.0000], [0.0000, 0.0000, 0.5000], [0.5000, 0.0000, 0.0000]], "sg": "Pm-3m (221)", "crystal_system": "cubic"}

Model two:
{"formula": "AsOs3Rh", "functional": "PBE-GGA", "state": "optimized geometry", "lattice_angstrom": [[-0.8101, -3.8171, -2.5724], [2.8224, -2.4752, 2.7840], [-3.6361, -1.0709, 2.7341]], "species": ["Rh", "As", "Os", "Os", "Os"], "fractional_positions": [[0.0000, 0.0000, 0.0000], [0.5000, 0.5000, 0.5000], [0.0000, 0.5000, 0.0000], [0.0000, 0.0000, 0.5000], [0.5000, 0.0000, 0.0000]], "sg": "Pm-3m (221)", "crystal_system": "cubic"}

Stability check: which of them is most stable? model one.